The following is a DFT calculation (PBEsol) of an optimized crystal structure of MgZr3H.

Cell: 4.446 4.446 4.446 Å, 90.00 90.00 90.00°
Atoms (fractional coordinates):
1 Zr 0.500 0.000 0.000
2 H 0.000 0.000 0.000
3 Zr 0.000 0.000 0.500
4 Zr 0.000 0.500 0.000
5 Mg 0.500 0.500 0.500

Results
total DFT energy (no corrections): -33.15 eV for the cell shown
space group: Pm-3m (221)



The following is a DFT calculation (PBEsol) of an optimized crystal structure of Rb2NaCaTa.

Cell: 6.026 6.026 6.424 Å, 90.00 90.00 90.00°
Each line ends with the local moment (μB).
Atoms (fractional coordinates):
1 Rb 0.000 0.500 0.000  0.01
2 Ta 0.500 0.500 0.500  2.27
3 Ca 0.000 0.000 0.500  0.04
4 Rb 0.500 0.000 0.000  0.01
5 Na 0.000 0.000 0.000  -0.03

Results
ΔE_f: 1.592 eV/atom
total DFT energy (no corrections): -10.18 eV for the cell shown
space group: P4/mmm (123)



The following is a DFT calculation (PBEsol) of an optimized crystal structure of HgMoOs.

Cell: 4.307 4.307 4.307 Å, 60.00 60.00 60.00°
Each line ends with the local moment (μB).
Atoms (fractional coordinates):
1 Os 0.500 0.500 0.500  0.11
2 Hg 0.750 0.750 0.750  0.00
3 Mo 0.000 0.000 0.000  0.10

Results
ΔE_f: 1.730 eV/atom
total DFT energy (no corrections): -19.36 eV for the cell shown
space group: F-43m (216)



The following is a DFT calculation (PBEsol) of an optimized crystal structure of Tl2CuSi.

Cell: 4.290 4.309 5.120 Å, 114.89 90.00 90.00°
Atoms (fractional coordinates):
1 Si 0.500 0.712 0.423
2 Cu 0.000 0.803 0.605
3 Tl 0.000 0.098 0.196
4 Tl 0.500 0.410 0.821

Results
total DFT energy (no corrections): -14.36 eV for the cell shown
space group: Amm2 (38)
ΔE to the lowest computed polymorph: 0.0 meV per atom
formation energy (no corrections): 0.98 eV/f.u.



The following is a DFT calculation (PBEsol) of an optimized crystal structure of Ca2ZnHg.

Cell: 3.608 5.216 5.930 Å, 109.34 107.71 90.00°
Atoms (fractional coordinates):
1 Zn 0.224 0.758 0.447
2 Ca 0.975 0.951 0.951
3 Ca 0.772 0.295 0.543
4 Hg 0.529 0.496 0.059

Results
ΔE_f: -0.332 eV/atom
total DFT energy (no corrections): -7.74 eV for the cell shown
space group: Cm (8)
ΔE to the lowest computed polymorph: 81.1 meV per atom



The following is a DFT calculation (PBEsol) of an optimized crystal structure of KLi2Pt.

Cell: 3.361 3.361 8.004 Å, 90.00 90.00 90.00°
Atoms (fractional coordinates):
1 Pt 0.000 0.000 0.408
2 Li 0.500 0.500 0.304
3 Li 0.000 0.000 0.100
4 K 0.500 0.500 0.688

Results
ΔE_f: -0.046 eV/atom
total DFT energy (no corrections): -12.21 eV for the cell shown
space group: P4mm (99)



The following is a DFT calculation (PBEsol) of an optimized crystal structure of Tc3PbO.

Cell: 5.104 5.104 5.104 Å, 90.00 90.00 90.00°
Each line ends with the local moment (μB).
Atoms (fractional coordinates):
1 Tc 0.000 0.000 0.500  2.85
2 Tc 0.500 0.000 0.000  2.85
3 Pb 0.000 0.000 0.000  -0.07
4 Tc 0.000 0.500 0.000  2.85
5 O 0.500 0.500 0.500  0.99

Results
total DFT energy (no corrections): -26.87 eV for the cell shown
space group: Pm-3m (221)
formation energy (no corrections): 16.18 eV/f.u.



The following is a DFT calculation (PBEsol) of an optimized crystal structure of KBaFe2.

Cell: 4.705 4.620 4.620 Å, 90.00 90.00 90.00°
Each line ends with the local moment (μB).
Atoms (fractional coordinates):
1 Fe 0.000 0.000 0.500  2.91
2 K 0.500 0.500 0.500  -0.04
3 Fe 0.000 0.500 0.000  2.91
4 Ba 0.500 0.000 0.000  -0.19

Results
ΔE_f: 1.330 eV/atom
total DFT energy (no corrections): -15.89 eV for the cell shown
space group: P4/mmm (123)
ΔE to the lowest computed polymorph: 674.6 meV per atom



Question: Look up the total DFT energy (no corrections) of the sixth one.
Answer: -12.21 eV for the cell shown